Entry 1:
TbSn2Ge2Pt7: optimized geometry, PBE-GGA.

Unit cell a=3.9522 b=3.9522 c=15.9124 alpha=82.95 beta=82.95 gamma=90.02
Closest atoms and distances in Å follow each position.
Positions (direct):
1 Pt 0.9299 0.4300 0.1421  2 Ge 2.50, 4 Pt 2.79-2.80
2 Pt 0.5000 0.5000 0.0000  4 Tb 2.79-2.80, 8 Pt 2.98
3 Ge 0.6185 0.6185 0.7600  5 Pt 2.45-2.50
4 Pt 0.3014 0.3014 0.3967  1 Ge 2.45
5 Ge 0.3815 0.3815 0.2400  5 Pt 2.45-2.50
6 Tb 0.0000 0.0000 0.0000  12 Pt 2.79-2.98
7 Sn 0.2125 0.2125 0.5740  5 Pt 2.78-2.83
8 Pt 0.4300 0.9299 0.1421  2 Ge 2.50, 4 Pt 2.79-2.80
9 Sn 0.7875 0.7875 0.4260  5 Pt 2.78-2.83
10 Pt 0.0701 0.5700 0.8579  2 Ge 2.50, 4 Pt 2.79-2.80
11 Pt 0.5700 0.0701 0.8579  2 Ge 2.50, 4 Pt 2.79-2.80
12 Pt 0.6986 0.6986 0.6033  1 Ge 2.45

Properties
**DFT formation energy**: -708 kJ/mol of formula units
**Total moment**: 0.00 μB/cell

***

Entry 2:
TmSn2Ge2Pt7: optimized geometry, PBE-GGA.

Unit cell a=3.9403 b=3.9403 c=15.8570 alpha=82.92 beta=82.92 gamma=90.01
Closest atoms and distances in Å follow each position.
Positions (direct):
1 Ge 0.3816 0.3816 0.2389  5 Pt 2.45-2.50
2 Pt 0.0693 0.5692 0.8601  2 Ge 2.50, 4 Pt 2.79
3 Sn 0.7872 0.7872 0.4257  5 Pt 2.78-2.83
4 Pt 0.9307 0.4308 0.1399  2 Ge 2.50, 4 Pt 2.79
5 Pt 0.4308 0.9307 0.1399  2 Ge 2.50, 4 Pt 2.79
6 Pt 0.5692 0.0693 0.8601  2 Ge 2.50, 4 Pt 2.79
7 Pt 0.3013 0.3013 0.3960  1 Ge 2.45
8 Pt 0.6987 0.6987 0.6040  1 Ge 2.45
9 Pt 0.5000 0.5000 0.0000  4 Tm 2.79, 8 Pt 2.94
10 Ge 0.6184 0.6184 0.7611  5 Pt 2.45-2.50
11 Tm 0.0000 0.0000 0.0000  12 Pt 2.79-2.94
12 Sn 0.2128 0.2128 0.5743  5 Pt 2.78-2.83

Properties
**DFT formation energy**: -736 kJ/mol of formula units
**Total moment**: 0.00 μB/cell

***

Entry 3:
YSn2Ge2Pt7: optimized geometry, PBE-GGA.

Unit cell a=3.9515 b=3.9515 c=15.9079 alpha=82.93 beta=82.93 gamma=90.02
Closest atoms and distances in Å follow each position.
Positions (direct):
1 Ge 0.6186 0.6186 0.7601  5 Pt 2.45-2.50
2 Sn 0.2128 0.2128 0.5740  5 Pt 2.78-2.84
3 Y 0.0000 0.0000 0.0000  12 Pt 2.79-2.97
4 Pt 0.9299 0.4298 0.1419  2 Ge 2.50, 4 Pt 2.79
5 Pt 0.4298 0.9299 0.1419  2 Ge 2.50, 4 Pt 2.79
6 Pt 0.3011 0.3011 0.3966  1 Ge 2.45
7 Sn 0.7872 0.7872 0.4260  5 Pt 2.78-2.84
8 Pt 0.6989 0.6989 0.6034  1 Ge 2.45
9 Pt 0.0701 0.5702 0.8581  2 Ge 2.50, 4 Pt 2.79
10 Pt 0.5702 0.0701 0.8581  2 Ge 2.50, 4 Pt 2.79
11 Pt 0.5000 0.5000 0.0000  4 Y 2.79, 8 Pt 2.97
12 Ge 0.3814 0.3814 0.2399  5 Pt 2.45-2.50

Properties
**DFT formation energy**: -703 kJ/mol of formula units
**Total moment**: 0.00 μB/cell

***

Entry 4:
YSn2GePt: optimized geometry, PBE-GGA.

Unit cell a=5.0932 b=5.4866 c=5.0932 alpha=90.00 beta=90.00 gamma=90.00
Closest atoms and distances in Å follow each position.
Positions (direct):
1 Pt 0.0000 0.0000 0.0000  4 Sn 2.55, 2 Y 2.74
2 Sn 0.0000 0.0000 0.5000  2 Pt 2.55
3 Sn 0.5000 0.0000 0.0000  2 Pt 2.55
4 Ge 0.5000 0.5000 0.5000  4 Y 3.60, 8 Sn 3.74
5 Y 0.0000 0.5000 0.0000  2 Pt 2.74

Properties
**DFT formation energy**: -45 kJ/mol of formula units
**Total moment**: 0.00 μB/cell

***

Q: Which value of total moment does entry 1 give?
A: 0.00 μB/cell

***

Q: Look up the total moment of the third one.
A: 0.00 μB/cell

***

Q: DFT formation energy of number 3 (YSn2Ge2Pt7)?
A: -703 kJ/mol of formula units